(1)
Material: PuNp3S6
Method: DFT, PBE
State: relaxed

Cell and atoms, written as CIF:
```
data_PuNp3S6
_space_group_name_H-M_alt 'P 1 21/m 1'
_space_group_IT_number 11
_space_group_name_Hall '-P 2yb'
_cell_length_a 10.796
_cell_length_b 3.970
_cell_length_c 11.263
_cell_angle_alpha 90.00
_cell_angle_beta 107.49
_cell_angle_gamma 90.00
loop_
_atom_site_label
_atom_site_fract_x
_atom_site_fract_y
_atom_site_fract_z
Pu1 0.050 0.250 0.191
Np1 0.159 0.250 0.583
Np2 0.314 0.750 0.999
Np3 0.435 0.250 0.332
S1 0.086 0.750 0.405
S2 0.118 0.250 0.959
S3 0.194 0.750 0.748
S4 0.261 0.750 0.227
S5 0.400 0.250 0.561
S6 0.482 0.250 0.112
```

Properties
* DFT total energy: -9.2663 eV per atom
* M_tot: 33.99 μB/cell

=====

(2)
Material: RbNbSe3
Method: DFT, PBE
State: relaxed

Cell and atoms, written as CIF:
```
data_RbNbSe3
_space_group_name_H-M_alt 'C 1 c 1'
_space_group_IT_number 9
_space_group_name_Hall 'C -2yc'
_cell_length_a 7.445
_cell_length_b 13.261
_cell_length_c 6.610
_cell_angle_alpha 90.00
_cell_angle_beta 90.15
_cell_angle_gamma 90.00
loop_
_atom_site_label
_atom_site_fract_x
_atom_site_fract_y
_atom_site_fract_z
Rb1 0.000 0.196 0.000
Nb1 0.000 0.457 0.591
Se1 0.000 0.284 0.501
Se2 0.241 0.462 0.888
Se3 0.259 0.038 0.386
```

Properties
* DFT total energy: -5.2364 eV per atom
* M_tot: 0.00 μB/cell

=====

(3)
Material: PuCl2F5
Method: DFT, PBE
State: relaxed

Cell and atoms, written as CIF:
```
data_PuCl2F5
_space_group_name_H-M_alt 'P 1'
_space_group_IT_number 1
_space_group_name_Hall 'P 1'
_cell_length_a 4.735
_cell_length_b 5.563
_cell_length_c 5.934
_cell_angle_alpha 67.72
_cell_angle_beta 73.45
_cell_angle_gamma 68.41
loop_
_atom_site_label
_atom_site_fract_x
_atom_site_fract_y
_atom_site_fract_z
Pu1 0.000 0.000 0.000
Cl1 0.196 0.631 0.513
Cl2 0.421 0.519 0.210
F1 0.071 0.227 0.166
F2 0.361 0.045 0.728
F3 0.641 0.926 0.269
F4 0.690 0.348 0.824
F5 0.919 0.760 0.852
```

Properties
* DFT total energy: -5.5781 eV per atom
* M_tot: 3.01 μB/cell

=====

(4)
Material: RbNiIr
Method: DFT, PBE
State: relaxed

Cell and atoms, written as CIF:
```
data_RbNiIr
_space_group_name_H-M_alt 'F -4 3 m'
_space_group_IT_number 216
_space_group_name_Hall 'F -4 2 3'
_cell_length_a 6.667
_cell_length_b 6.667
_cell_length_c 6.667
_cell_angle_alpha 90.00
_cell_angle_beta 90.00
_cell_angle_gamma 90.00
loop_
_atom_site_label
_atom_site_fract_x
_atom_site_fract_y
_atom_site_fract_z
Rb1 0.000 0.000 0.000
Ni1 0.250 0.250 0.250
Ir1 0.250 0.250 0.750
```

Properties
* DFT total energy: -2.7395 eV per atom
* M_tot: 6.58 μB/cell

=====

(5)
Material: NbInAs
Method: DFT, PBE
State: relaxed

Cell and atoms, written as CIF:
```
data_NbInAs
_space_group_name_H-M_alt 'F -4 3 m'
_space_group_IT_number 216
_space_group_name_Hall 'F -4 2 3'
_cell_length_a 6.499
_cell_length_b 6.499
_cell_length_c 6.499
_cell_angle_alpha 90.00
_cell_angle_beta 90.00
_cell_angle_gamma 90.00
loop_
_atom_site_label
_atom_site_fract_x
_atom_site_fract_y
_atom_site_fract_z
Nb1 0.000 0.000 0.000
In1 0.250 0.250 0.250
As1 0.250 0.250 0.750
```

Properties
* DFT total energy: -5.3936 eV per atom
* M_tot: 3.76 μB/cell

=====

(6)
Material: Li2Dy2O5
Method: DFT, PBE
State: relaxed

Cell and atoms, written as CIF:
```
data_Li2Dy2O5
_space_group_name_H-M_alt 'P 4/m m m'
_space_group_IT_number 123
_space_group_name_Hall '-P 4 2'
_cell_length_a 3.664
_cell_length_b 3.664
_cell_length_c 6.903
_cell_angle_alpha 90.00
_cell_angle_beta 90.00
_cell_angle_gamma 90.00
loop_
_atom_site_label
_atom_site_fract_x
_atom_site_fract_y
_atom_site_fract_z
Li1 0.000 0.000 0.243
Dy1 0.500 0.500 0.000
Dy2 0.500 0.500 0.500
O1 0.000 0.000 0.500
O2 0.000 0.500 0.210
```

Properties
* DFT total energy: -6.4355 eV per atom
* M_tot: 2.00 μB/cell